[1]
! La2OsCl GGA-PBEsol optimized geometry; values from VASP
! electronic total energy = -28.00 eV per cell
! space group = P4/mmm
&SYSTEM
  ibrav = 0, nat = 4, ntyp = 3
/
ATOMIC_SPECIES
Cl 35.45 Cl.upf
Os 190.23 Os.upf
La 138.91 La.upf
CELL_PARAMETERS angstrom
-2.080 2.706 2.369
-1.716 -3.151 2.094
4.348 0.096 3.708
ATOMIC_POSITIONS crystal
Cl 0.500 0.500 0.500
Os 0.000 0.000 0.000
La 0.500 0.500 0.000
La 0.000 0.000 0.500



[2]
! La2OsCl GGA-PBEsol optimized geometry; values from VASP
! electronic total energy = -28.32 eV per cell
! space group = P4/mmm
&SYSTEM
  ibrav = 0, nat = 4, ntyp = 3
/
ATOMIC_SPECIES
Os 190.23 Os.upf
La 138.91 La.upf
Cl 35.45 Cl.upf
CELL_PARAMETERS angstrom
-2.114 2.347 -1.219
1.062 -0.676 -3.143
-5.789 -5.604 -0.751
ATOMIC_POSITIONS crystal
Os 0.500 0.500 0.000
La 0.000 0.000 0.779
La 0.000 0.000 0.221
Cl 0.500 0.500 0.500



[3]
! La2PCl GGA-PBEsol optimized geometry; values from VASP
! electronic total energy = -25.24 eV per cell
! space group = P4/mmm
&SYSTEM
  ibrav = 0, nat = 4, ntyp = 3
/
ATOMIC_SPECIES
La 138.91 La.upf
P 30.97 P.upf
Cl 35.45 Cl.upf
CELL_PARAMETERS angstrom
-1.598 -2.563 -2.842
0.426 -3.180 2.628
-5.356 1.015 2.096
ATOMIC_POSITIONS crystal
La 0.500 0.500 0.000
P 0.000 0.000 0.000
Cl 0.500 0.500 0.500
La 0.000 0.000 0.500



[4]
! LaPCl GGA-PBEsol optimized geometry; values from VASP
! electronic total energy = -16.64 eV per cell
! space group = F-43m
&SYSTEM
  ibrav = 0, nat = 3, ntyp = 3
/
ATOMIC_SPECIES
La 138.91 La.upf
Cl 35.45 Cl.upf
P 30.97 P.upf
CELL_PARAMETERS angstrom
4.834 0.000 0.000
2.417 4.186 0.000
2.417 1.395 3.947
ATOMIC_POSITIONS crystal
La 0.250 0.250 0.250
Cl 0.500 0.500 0.500
P 0.000 0.000 0.000



[5]
! LaP2Cl GGA-PBEsol optimized geometry; values from VASP
! electronic total energy = -22.98 eV per cell
! space group = R3m
&SYSTEM
  ibrav = 0, nat = 4, ntyp = 3
/
ATOMIC_SPECIES
P 30.97 P.upf
Cl 35.45 Cl.upf
La 138.91 La.upf
CELL_PARAMETERS angstrom
4.091 0.000 0.000
2.045 3.543 0.000
2.045 1.181 6.715
ATOMIC_POSITIONS crystal
P 0.704 0.704 0.889
P 0.020 0.020 0.940
Cl 0.513 0.513 0.460
La 0.263 0.263 0.212



[6]
! LaP2Cl GGA-PBEsol optimized geometry; values from VASP
! electronic total energy = -22.50 eV per cell
! space group = P4/mmm
&SYSTEM
  ibrav = 0, nat = 4, ntyp = 3
/
ATOMIC_SPECIES
Cl 35.45 Cl.upf
La 138.91 La.upf
P 30.97 P.upf
CELL_PARAMETERS angstrom
4.134 0.000 0.000
0.000 4.134 0.000
0.000 0.000 5.636
ATOMIC_POSITIONS crystal
Cl 0.500 0.500 0.000
La 0.500 0.500 0.500
P 0.000 0.000 0.315
P 0.000 0.000 0.685



[7]
! LaP2Cl GGA-PBEsol optimized geometry; values from VASP
! electronic total energy = -21.01 eV per cell
! space group = F-43m
&SYSTEM
  ibrav = 0, nat = 4, ntyp = 3
/
ATOMIC_SPECIES
P 30.97 P.upf
Cl 35.45 Cl.upf
La 138.91 La.upf
CELL_PARAMETERS angstrom
4.887 0.000 0.000
2.443 4.232 0.000
2.443 1.411 3.990
ATOMIC_POSITIONS crystal
P 0.000 0.000 0.000
Cl 0.500 0.500 0.500
P 0.750 0.750 0.750
La 0.250 0.250 0.250



[8]
! LaPCl2 GGA-PBEsol optimized geometry; values from VASP
! electronic total energy = -18.92 eV per cell
! space group = F-43m
&SYSTEM
  ibrav = 0, nat = 4, ntyp = 3
/
ATOMIC_SPECIES
La 138.91 La.upf
Cl 35.45 Cl.upf
P 30.97 P.upf
CELL_PARAMETERS angstrom
-0.212 4.568 -2.022
-3.810 1.234 -2.995
-3.449 3.267 1.560
ATOMIC_POSITIONS crystal
La 0.500 0.500 0.500
Cl 0.750 0.750 0.750
Cl 0.000 0.000 0.000
P 0.250 0.250 0.250



[9]
! La2PCl GGA-PBEsol optimized geometry; values from VASP
! electronic total energy = -24.46 eV per cell
! space group = P4/mmm
&SYSTEM
  ibrav = 0, nat = 4, ntyp = 3
/
ATOMIC_SPECIES
Cl 35.45 Cl.upf
P 30.97 P.upf
La 138.91 La.upf
CELL_PARAMETERS angstrom
3.568 0.000 0.000
0.000 3.568 0.000
0.000 0.000 7.168
ATOMIC_POSITIONS crystal
Cl 0.500 0.500 0.500
P 0.500 0.500 0.000
La 0.000 0.000 0.231
La 0.000 0.000 0.769



[10]
! LaPCl GGA-PBEsol optimized geometry; values from VASP
! electronic total energy = -16.32 eV per cell
! space group = I4mm
&SYSTEM
  ibrav = 0, nat = 3, ntyp = 3
/
ATOMIC_SPECIES
La 138.91 La.upf
P 30.97 P.upf
Cl 35.45 Cl.upf
CELL_PARAMETERS angstrom
3.449 0.000 0.000
0.000 3.449 0.000
-1.725 -1.725 6.228
ATOMIC_POSITIONS crystal
La 0.665 0.665 0.329
P 0.308 0.308 0.616
Cl 0.027 0.027 0.055



[11]
! RbLaPCl2 GGA-PBEsol optimized geometry; values from VASP
! electronic total energy = -18.01 eV per cell
! space group = P4/mmm
&SYSTEM
  ibrav = 0, nat = 5, ntyp = 4
/
ATOMIC_SPECIES
La 138.91 La.upf
Cl 35.45 Cl.upf
Rb 85.47 Rb.upf
P 30.97 P.upf
CELL_PARAMETERS angstrom
5.345 0.000 0.000
0.000 5.345 0.000
0.000 0.000 5.502
ATOMIC_POSITIONS crystal
La 0.500 0.500 0.500
Cl 0.000 0.500 0.000
Rb 0.000 0.000 0.000
P 0.000 0.000 0.500
Cl 0.500 0.000 0.000



[12]
! RbLaPCl2 GGA-PBEsol optimized geometry; values from VASP
! electronic total energy = -23.07 eV per cell
! space group = P4/mmm
&SYSTEM
  ibrav = 0, nat = 5, ntyp = 4
/
ATOMIC_SPECIES
Cl 35.45 Cl.upf
Rb 85.47 Rb.upf
P 30.97 P.upf
La 138.91 La.upf
CELL_PARAMETERS angstrom
5.374 0.000 0.000
0.000 5.589 0.000
0.000 0.000 5.589
ATOMIC_POSITIONS crystal
Cl 0.000 0.000 0.500
Rb 0.500 0.500 0.500
Cl 0.000 0.500 0.000
P 0.500 0.000 0.000
La 0.000 0.000 0.000



[13]
! LaPSCl2 GGA-PBEsol optimized geometry; values from VASP
! electronic total energy = -20.96 eV per cell
! space group = P4/mmm
&SYSTEM
  ibrav = 0, nat = 5, ntyp = 4
/
ATOMIC_SPECIES
La 138.91 La.upf
Cl 35.45 Cl.upf
S 32.06 S.upf
P 30.97 P.upf
CELL_PARAMETERS angstrom
5.281 0.000 0.000
0.000 5.281 0.000
0.000 0.000 6.099
ATOMIC_POSITIONS crystal
La 0.000 0.000 0.000
Cl 0.000 0.500 0.000
S 0.500 0.500 0.500
P 0.000 0.000 0.500
Cl 0.500 0.000 0.000



[14]
! LaScPCl2 GGA-PBEsol optimized geometry; values from VASP
! electronic total energy = -28.83 eV per cell
! space group = P4/mmm
&SYSTEM
  ibrav = 0, nat = 5, ntyp = 4
/
ATOMIC_SPECIES
Cl 35.45 Cl.upf
Sc 44.96 Sc.upf
P 30.97 P.upf
La 138.91 La.upf
CELL_PARAMETERS angstrom
-0.099 -1.743 4.375
1.314 -4.213 -1.649
4.965 1.302 0.631
ATOMIC_POSITIONS crystal
Cl 0.500 0.000 0.000
Cl 0.000 0.500 0.000
Sc 0.000 0.000 0.000
P 0.000 0.000 0.500
La 0.500 0.500 0.500



[15]
! LaScP2Cl GGA-PBEsol optimized geometry; values from VASP
! electronic total energy = -31.01 eV per cell
! space group = P4/mmm
&SYSTEM
  ibrav = 0, nat = 5, ntyp = 4
/
ATOMIC_SPECIES
Cl 35.45 Cl.upf
P 30.97 P.upf
La 138.91 La.upf
Sc 44.96 Sc.upf
CELL_PARAMETERS angstrom
-1.459 0.509 4.514
0.647 -4.808 0.751
4.629 0.842 1.401
ATOMIC_POSITIONS crystal
Cl 0.500 0.000 0.000
P 0.000 0.500 0.000
P 0.000 0.000 0.500
La 0.500 0.500 0.500
Sc 0.000 0.000 0.000



[16]
! LaPSeCl2 GGA-PBEsol optimized geometry; values from VASP
! electronic total energy = -21.20 eV per cell
! space group = P4/mmm
&SYSTEM
  ibrav = 0, nat = 5, ntyp = 4
/
ATOMIC_SPECIES
Cl 35.45 Cl.upf
La 138.91 La.upf
Se 78.96 Se.upf
P 30.97 P.upf
CELL_PARAMETERS angstrom
4.831 0.000 0.000
0.000 4.831 0.000
0.000 0.000 5.162
ATOMIC_POSITIONS crystal
Cl 0.500 0.000 0.000
La 0.500 0.500 0.500
Se 0.000 0.000 0.000
Cl 0.000 0.500 0.000
P 0.000 0.000 0.500



[17]
! LaSnP2Cl GGA-PBEsol optimized geometry; values from VASP
! electronic total energy = -23.06 eV per cell
! space group = P4/mmm
&SYSTEM
  ibrav = 0, nat = 5, ntyp = 4
/
ATOMIC_SPECIES
Sn 118.71 Sn.upf
La 138.91 La.upf
P 30.97 P.upf
Cl 35.45 Cl.upf
CELL_PARAMETERS angstrom
-4.392 -2.621 -1.307
2.824 -3.006 -3.463
0.975 -3.581 3.903
ATOMIC_POSITIONS crystal
Sn 0.500 0.500 0.500
La 0.000 0.000 0.000
P 0.000 0.500 0.000
P 0.000 0.000 0.500
Cl 0.500 0.000 0.000



[18]
! LaSnPCl2 GGA-PBEsol optimized geometry; values from VASP
! electronic total energy = -22.91 eV per cell
! space group = P4/mmm
&SYSTEM
  ibrav = 0, nat = 5, ntyp = 4
/
ATOMIC_SPECIES
Cl 35.45 Cl.upf
La 138.91 La.upf
P 30.97 P.upf
Sn 118.71 Sn.upf
CELL_PARAMETERS angstrom
5.312 0.000 0.000
0.000 5.312 0.000
0.000 0.000 5.746
ATOMIC_POSITIONS crystal
Cl 0.500 0.000 0.000
La 0.000 0.000 0.000
P 0.000 0.000 0.500
Sn 0.500 0.500 0.500
Cl 0.000 0.500 0.000



[19]
! LaTaPCl2 GGA-PBEsol optimized geometry; values from VASP
! electronic total energy = -31.38 eV per cell
! space group = P4/mmm
&SYSTEM
  ibrav = 0, nat = 5, ntyp = 4
/
ATOMIC_SPECIES
Ta 180.95 Ta.upf
Cl 35.45 Cl.upf
P 30.97 P.upf
La 138.91 La.upf
CELL_PARAMETERS angstrom
-2.643 -3.350 -1.990
1.631 -3.135 3.111
-3.686 1.101 3.043
ATOMIC_POSITIONS crystal
Ta 0.000 0.000 0.000
Cl 0.000 0.500 0.000
P 0.000 0.000 0.500
La 0.500 0.500 0.500
Cl 0.500 0.000 0.000



[20]
! LaTaPCl2 GGA-PBEsol optimized geometry; values from VASP
! electronic total energy = -25.97 eV per cell
! space group = P4/mmm
&SYSTEM
  ibrav = 0, nat = 5, ntyp = 4
/
ATOMIC_SPECIES
Cl 35.45 Cl.upf
P 30.97 P.upf
Ta 180.95 Ta.upf
La 138.91 La.upf
CELL_PARAMETERS angstrom
5.200 0.000 0.000
0.000 5.200 0.000
0.000 0.000 5.874
ATOMIC_POSITIONS crystal
Cl 0.000 0.500 0.000
P 0.000 0.000 0.500
Ta 0.500 0.500 0.500
Cl 0.500 0.000 0.000
La 0.000 0.000 0.000



[21]
! LaTiP2Cl GGA-PBEsol optimized geometry; values from VASP
! electronic total energy = -32.60 eV per cell
! space group = P4/mmm
&SYSTEM
  ibrav = 0, nat = 5, ntyp = 4
/
ATOMIC_SPECIES
Cl 35.45 Cl.upf
P 30.97 P.upf
La 138.91 La.upf
Ti 47.87 Ti.upf
CELL_PARAMETERS angstrom
4.624 0.000 0.000
0.000 4.731 0.000
0.000 0.000 4.731
ATOMIC_POSITIONS crystal
Cl 0.500 0.000 0.000
P 0.000 0.500 0.000
La 0.500 0.500 0.500
Ti 0.000 0.000 0.000
P 0.000 0.000 0.500



[22]
! LaZrP2Cl GGA-PBEsol optimized geometry; values from VASP
! electronic total energy = -26.51 eV per cell
! space group = P4/mmm
&SYSTEM
  ibrav = 0, nat = 5, ntyp = 4
/
ATOMIC_SPECIES
Cl 35.45 Cl.upf
Zr 91.22 Zr.upf
P 30.97 P.upf
La 138.91 La.upf
CELL_PARAMETERS angstrom
5.079 0.000 0.000
0.000 5.356 0.000
0.000 0.000 5.356
ATOMIC_POSITIONS crystal
Cl 0.500 0.000 0.000
Zr 0.500 0.500 0.500
P 0.000 0.500 0.000
P 0.000 0.000 0.500
La 0.000 0.000 0.000



[23]
! LaPb2Cl GGA-PBEsol optimized geometry; values from VASP
! electronic total energy = -16.48 eV per cell
! space group = Fm-3m
&SYSTEM
  ibrav = 0, nat = 4, ntyp = 3
/
ATOMIC_SPECIES
Pb 207.20 Pb.upf
La 138.91 La.upf
Cl 35.45 Cl.upf
CELL_PARAMETERS angstrom
5.452 0.000 0.000
2.726 4.722 0.000
2.726 1.574 4.452
ATOMIC_POSITIONS crystal
Pb 0.250 0.250 0.250
Pb 0.750 0.750 0.750
La 0.500 0.500 0.500
Cl 0.000 0.000 0.000



[24]
! LaPb2Cl GGA-PBEsol optimized geometry; values from VASP
! electronic total energy = -18.54 eV per cell
! space group = P4/mmm
&SYSTEM
  ibrav = 0, nat = 4, ntyp = 3
/
ATOMIC_SPECIES
Cl 35.45 Cl.upf
Pb 207.20 Pb.upf
La 138.91 La.upf
CELL_PARAMETERS angstrom
4.247 0.000 0.000
0.000 4.247 0.000
0.000 0.000 6.047
ATOMIC_POSITIONS crystal
Cl 0.500 0.500 0.500
Pb 0.500 0.000 0.000
La 0.000 0.000 0.500
Pb 0.000 0.500 0.000



[25]
! LaPb2Cl GGA-PBEsol optimized geometry; values from VASP
! electronic total energy = -19.02 eV per cell
! space group = R3m
&SYSTEM
  ibrav = 0, nat = 4, ntyp = 3
/
ATOMIC_SPECIES
Cl 35.45 Cl.upf
La 138.91 La.upf
Pb 207.20 Pb.upf
CELL_PARAMETERS angstrom
-4.005 -1.407 2.211
0.113 -3.706 3.027
-0.160 1.874 6.083
ATOMIC_POSITIONS crystal
Cl 0.518 0.518 0.446
La 0.220 0.220 0.339
Pb 0.747 0.747 0.760
Pb 0.004 0.004 0.989



[26]
! La5Pb3Cl GGA-PBEsol optimized geometry; values from VASP
! electronic total energy = -98.53 eV per cell
! space group = P6_3/mcm
&SYSTEM
  ibrav = 0, nat = 18, ntyp = 3
/
ATOMIC_SPECIES
Pb 207.20 Pb.upf
La 138.91 La.upf
Cl 35.45 Cl.upf
CELL_PARAMETERS angstrom
-4.666 4.678 -1.546
-5.845 -3.608 6.729
6.228 6.964 2.274
ATOMIC_POSITIONS crystal
Pb 0.250 0.613 0.613
Pb 0.250 0.387 0.000
La 0.750 0.258 0.000
Pb 0.750 0.387 0.387
Cl 0.000 0.000 0.000
Pb 0.750 0.613 0.000
La 0.000 0.333 0.667
La 0.000 0.667 0.333
Pb 0.250 0.000 0.387
Cl 0.500 0.000 0.000
La 0.500 0.333 0.667
La 0.250 0.742 0.000
La 0.250 0.000 0.742
Pb 0.750 0.000 0.613
La 0.750 0.000 0.258
La 0.750 0.742 0.742
La 0.500 0.667 0.333
La 0.250 0.258 0.258



[27]
! LaPbS2Cl GGA-PBEsol optimized geometry; values from VASP
! electronic total energy = -25.06 eV per cell
! space group = P4/mmm
&SYSTEM
  ibrav = 0, nat = 5, ntyp = 4
/
ATOMIC_SPECIES
Pb 207.20 Pb.upf
La 138.91 La.upf
S 32.06 S.upf
Cl 35.45 Cl.upf
CELL_PARAMETERS angstrom
5.272 0.000 0.000
0.000 5.480 0.000
0.000 0.000 5.480
ATOMIC_POSITIONS crystal
Pb 0.500 0.500 0.500
La 0.000 0.000 0.000
S 0.000 0.000 0.500
S 0.000 0.500 0.000
Cl 0.500 0.000 0.000



[28]
! La2PdCl2 GGA-PBEsol optimized geometry; values from VASP
! electronic total energy = -53.82 eV per cell
! space group = P4/mbm
&SYSTEM
  ibrav = 0, nat = 10, ntyp = 3
/
ATOMIC_SPECIES
La 138.91 La.upf
Cl 35.45 Cl.upf
Pd 106.42 Pd.upf
CELL_PARAMETERS angstrom
3.437 0.000 0.000
0.000 8.047 0.000
0.000 0.000 8.047
ATOMIC_POSITIONS crystal
La 0.500 0.323 0.177
Cl 0.000 0.876 0.624
La 0.500 0.823 0.323
Pd 0.000 0.500 0.500
Cl 0.000 0.124 0.376
La 0.500 0.177 0.677
Cl 0.000 0.376 0.876
Cl 0.000 0.624 0.124
La 0.500 0.677 0.823
Pd 0.000 0.000 0.000



[29]
! LaPtCl2 GGA-PBEsol optimized geometry; values from VASP
! electronic total energy = -20.90 eV per cell
! space group = Imm2
&SYSTEM
  ibrav = 0, nat = 4, ntyp = 3
/
ATOMIC_SPECIES
Cl 35.45 Cl.upf
La 138.91 La.upf
Pt 195.08 Pt.upf
CELL_PARAMETERS angstrom
4.151 0.000 0.000
0.000 4.213 0.000
-2.075 -2.106 4.586
ATOMIC_POSITIONS crystal
Cl 0.750 0.250 0.500
Cl 0.998 0.998 0.996
La 0.503 0.503 0.005
Pt 0.250 0.750 0.499